[1]
# ZrTiNbAu, optimized geometry, DFT GGA-PBE
# ΔE_f = -0.1792 eV/atom
data_ZrTiNbAu
_cell_length_a 6.6543
_cell_length_b 6.6543
_cell_length_c 6.6543
_cell_angle_alpha 90.00
_cell_angle_beta 90.00
_cell_angle_gamma 90.00
_symmetry_space_group_name_H-M 'F -4 3 m'
_symmetry_Int_Tables_number 216
_symmetry_space_group_name_Hall 'F -4 2 3'
loop_
_atom_site_label
_atom_site_fract_x
_atom_site_fract_y
_atom_site_fract_z
Zr1 0.0000 0.0000 0.0000
Ti1 0.0000 0.0000 0.5000
Nb1 0.2500 0.2500 0.7500
Au1 0.2500 0.2500 0.2500



[2]
# Pr3Dy4Ho5, optimized geometry, DFT GGA-PBE
# ΔE_f = 0.0191 eV/atom
# Offset from the most stable computed form = 0 meV per atom
data_Pr3Dy4Ho5
_cell_length_a 6.1921
_cell_length_b 7.1506
_cell_length_c 8.7620
_cell_angle_alpha 89.96
_cell_angle_beta 89.84
_cell_angle_gamma 89.83
_symmetry_space_group_name_H-M 'P -1'
_symmetry_Int_Tables_number 2
_symmetry_space_group_name_Hall '-P 1'
loop_
_atom_site_label
_atom_site_fract_x
_atom_site_fract_y
_atom_site_fract_z
Pr1 0.0000 0.0000 0.0000
Pr2 0.1666 0.2510 0.3343
Dy1 0.1691 0.7489 0.3330
Dy2 0.3334 0.4997 0.6682
Ho1 0.0000 0.5000 0.0000
Ho2 0.3355 0.0003 0.6677
Ho3 0.4987 0.7486 0.0003



[3]
# KSi2Br, optimized geometry, DFT GGA-PBE
# Formation energy (no corrections) = 0.05 eV per atom
# Offset from the most stable computed form = 443 meV per atom
data_KSi2Br
_cell_length_a 3.8148
_cell_length_b 6.8773
_cell_length_c 9.4296
_cell_angle_alpha 90.00
_cell_angle_beta 90.00
_cell_angle_gamma 90.00
_symmetry_space_group_name_H-M 'I m m 2'
_symmetry_Int_Tables_number 44
_symmetry_space_group_name_Hall 'I 2 -2'
loop_
_atom_site_label
_atom_site_fract_x
_atom_site_fract_y
_atom_site_fract_z
K1 0.0000 0.0000 0.0000
Si1 0.0000 0.0000 0.4567
Si2 0.0000 0.5000 0.8259
Br1 0.0000 0.5000 0.2173



| no. | magnetization (μB per formula unit) |
| --- | --- |
| 1 | 0.00 |
| 2 | 0.00 |
| 3 | 0.00 |